A relaxed structure of Mg6NiSnO8. Source: Alexandria, functional PBE+U.

Space group = P4/mmm (123)
Total DFT energy (no corrections) = -5.611 eV per atom
Magnetization = 0.104 μB/atom
Calculated density = 4.36 g cm⁻³
Fermi-level density of states = 1.4 states/eV per cell
Crystal system = tetragonal

a = 4.4196 Å, b = 4.4196 Å, c = 8.7956 Å
α = 90.00°, β = 90.00°, γ = 90.00°
Last column: nearest neighbours and their distance in Å.
Element x y z (fractional)
Mg (0.5000, 0.5000, 0.0000)  6 O 2.19-2.21
Mg (0.5000, 0.5000, 0.5000)  6 O 2.20-2.21
Mg (0.0000, 0.5000, 0.2342)  5 O 2.06-2.21
Mg (0.0000, 0.5000, 0.7658)  5 O 2.06-2.21
Mg (0.5000, 0.0000, 0.2342)  5 O 2.06-2.21
Mg (0.5000, 0.0000, 0.7658)  5 O 2.06-2.21
Ni (0.0000, 0.0000, 0.0000)  6 O 2.05-2.21
Sn (0.0000, 0.0000, 0.5000)  6 O 2.21-2.35
O (0.0000, 0.0000, 0.2334)  1 Ni 2.05, 4 Mg 2.21
O (0.0000, 0.0000, 0.7666)  1 Ni 2.05, 4 Mg 2.21
O (0.5000, 0.5000, 0.2493)  6 Mg 2.19-2.21
O (0.5000, 0.5000, 0.7507)  6 Mg 2.19-2.21
O (0.0000, 0.5000, 0.0000)  4 Mg 2.06-2.21, 2 Ni 2.21
O (0.0000, 0.5000, 0.5000)  4 Mg 2.21-2.34, 2 Sn 2.21
O (0.5000, 0.0000, 0.0000)  4 Mg 2.06-2.21, 2 Ni 2.21
O (0.5000, 0.0000, 0.5000)  4 Mg 2.21-2.34, 2 Sn 2.21